--- P ---
{
  "formula": "SmHo3Ag2",
  "functional": "GGA-PBE",
  "state": "optimized geometry",
  "lattice_angstrom": [[-5.1158, -4.5579, 1.7167], [-1.6866, -0.8040, -7.1606], [7.9506, -2.6054, 2.2440]],
  "species": ["Ag", "Ag", "Ag", "Ag", "Sm", "Sm", "Ho", "Ho", "Ho", "Ho", "Ho", "Ho"],
  "fractional_positions": [[0.8420, 0.1437, 0.2873], [0.5547, 0.3563, 0.7127], [0.4453, 0.6437, 0.2873], [0.1580, 0.8563, 0.7127], [0.0000, 0.5000, 0.0000], [0.0000, 0.0000, 0.0000], [0.5000, 0.7500, 0.0000], [0.7708, 0.5208, 0.5416], [0.2292, 0.4792, 0.4584], [0.2292, 0.9792, 0.4584], [0.5000, 0.2500, 0.0000], [0.7708, 0.0208, 0.5416]],
  "spacegroup": "No. 72",
  "dos_ef_per_ev_cell": 15.60,
  "crystal_system": "orthorhombic"
}

=====

--- Q ---
{
  "formula": "SmHo3Ag2",
  "functional": "GGA-PBE",
  "state": "optimized geometry",
  "lattice_angstrom": [[-1.5377, 3.1476, 0.8863], [-3.2546, -1.5683, -0.0767], [1.0820, -2.8286, 11.9222]],
  "species": ["Sm", "Ho", "Ho", "Ho", "Ag", "Ag"],
  "fractional_positions": [[0.5000, 0.5000, 0.5000], [0.0000, 0.0000, 0.0000], [0.0000, 0.0000, 0.7053], [0.0000, 0.0000, 0.2947], [0.5000, 0.5000, 0.8518], [0.5000, 0.5000, 0.1482]],
  "spacegroup": "No. 123",
  "dos_ef_per_ev_cell": 6.30,
  "crystal_system": "tetragonal"
}

=====

Bottom line: Q, by a margin of 23.0 kJ/mol of atoms.

=====

--- P ---
{
  "formula": "SmHoAg",
  "functional": "GGA-PBE",
  "state": "optimized geometry",
  "lattice_angstrom": [[-2.3605, -2.3639, 1.8397], [5.9209, 0.3652, 4.1130], [-2.2285, 6.2687, 1.2429]],
  "species": ["Ag", "Ag", "Sm", "Sm", "Ho", "Ho"],
  "fractional_positions": [[0.4466, 0.8164, 0.0769], [0.5534, 0.1836, 0.9231], [0.2273, 0.1262, 0.3283], [0.7727, 0.8738, 0.6717], [0.9067, 0.5581, 0.2553], [0.0933, 0.4419, 0.7447]],
  "spacegroup": "No. 12",
  "dos_ef_per_ev_cell": 5.95,
  "crystal_system": "monoclinic"
}

=====

--- Q ---
{
  "formula": "SmHoAg",
  "functional": "GGA-PBE",
  "state": "optimized geometry",
  "lattice_angstrom": [[-2.4925, -2.5388, 1.0180], [3.7042, -2.8393, 1.9885], [-2.3571, 3.4620, 2.8628]],
  "species": ["Sm", "Ho", "Ag"],
  "fractional_positions": [[0.6210, 0.6667, 0.3333], [0.0773, 0.0000, 0.0000], [0.3016, 0.3333, 0.6667]],
  "spacegroup": "No. 156",
  "dos_ef_per_ev_cell": 2.94,
  "crystal_system": "trigonal"
}

=====

Bottom line: P, by a margin of 13.3 kJ/mol of atoms.

=====

--- P ---
{
  "formula": "Sm3Ho2Ag2",
  "functional": "GGA-PBE",
  "state": "optimized geometry",
  "lattice_angstrom": [[5.9533, 12.5719, 7.0130], [-9.1228, -11.2272, -5.7794], [0.3880, -1.8874, 3.0540]],
  "species": ["Sm", "Sm", "Sm", "Ho", "Ho", "Ag", "Ag"],
  "fractional_positions": [[0.1244, 0.8756, 0.0000], [0.0000, 0.0000, 0.0000], [0.8756, 0.1244, 0.0000], [0.2970, 0.7030, 0.5000], [0.7030, 0.2970, 0.5000], [0.5615, 0.4385, 0.5000], [0.4385, 0.5615, 0.5000]],
  "spacegroup": "No. 65",
  "dos_ef_per_ev_cell": 8.41,
  "crystal_system": "orthorhombic"
}

=====

--- Q ---
{
  "formula": "Sm3Ho2Ag2",
  "functional": "GGA-PBE",
  "state": "optimized geometry",
  "lattice_angstrom": [[3.7408, 0.0000, 0.0000], [-1.8704, 6.5008, -0.3765], [0.0000, -3.4762, 8.5665]],
  "species": ["Ag", "Ag", "Sm", "Sm", "Sm", "Ho", "Ho"],
  "fractional_positions": [[0.8235, 0.6471, 0.7771], [0.1765, 0.3529, 0.2229], [0.6097, 0.2195, 0.4453], [0.5000, 0.0000, 0.0000], [0.3903, 0.7805, 0.5547], [0.8528, 0.7056, 0.1868], [0.1472, 0.2944, 0.8132]],
  "spacegroup": "No. 12",
  "dos_ef_per_ev_cell": 7.50,
  "crystal_system": "monoclinic"
}

=====

Bottom line: Q, by a margin of 5.3 kJ/mol of atoms.

=====

--- P ---
{
  "formula": "Sm3HoAg2",
  "functional": "GGA-PBE",
  "state": "optimized geometry",
  "lattice_angstrom": [[-3.5328, 2.1763, -3.1152], [-3.7860, -5.8592, 0.2003], [-4.5756, 3.2106, 7.4321]],
  "species": ["Sm", "Sm", "Sm", "Sm", "Sm", "Sm", "Ag", "Ag", "Ag", "Ag", "Ho", "Ho"],
  "fractional_positions": [[0.0000, 0.3412, 0.3335], [0.5000, 0.1577, 0.8291], [0.0000, 0.8412, 0.6665], [0.5000, 0.6577, 0.1709], [0.0000, 0.9897, 0.0620], [0.0000, 0.4897, 0.9380], [0.0000, 0.7712, 0.3495], [0.5000, 0.2285, 0.1555], [0.5000, 0.7285, 0.8445], [0.0000, 0.2712, 0.6505], [0.5000, 0.0117, 0.4395], [0.5000, 0.5117, 0.5605]],
  "spacegroup": "No. 26",
  "dos_ef_per_ev_cell": 13.44,
  "crystal_system": "orthorhombic"
}

=====

--- Q ---
{
  "formula": "Sm3HoAg2",
  "functional": "GGA-PBE",
  "state": "optimized geometry",
  "lattice_angstrom": [[-0.9140, 5.2262, 4.7063], [-5.6039, -3.9283, 3.2740], [7.9388, -3.7227, 0.3321]],
  "species": ["Ag", "Ag", "Ag", "Ag", "Sm", "Sm", "Sm", "Sm", "Sm", "Sm", "Ho", "Ho"],
  "fractional_positions": [[0.8396, 0.1409, 0.2817], [0.4422, 0.6409, 0.2817], [0.1604, 0.8591, 0.7183], [0.5578, 0.3591, 0.7183], [0.2255, 0.4755, 0.4509], [0.5000, 0.2500, 0.0000], [0.5000, 0.7500, 0.0000], [0.7745, 0.0245, 0.5491], [0.2255, 0.9755, 0.4509], [0.7745, 0.5245, 0.5491], [0.0000, 0.0000, 0.0000], [0.0000, 0.5000, 0.0000]],
  "spacegroup": "No. 72",
  "dos_ef_per_ev_cell": 16.52,
  "crystal_system": "orthorhombic"
}

=====

Bottom line: P, by a margin of 21.8 kJ/mol of atoms.

=====

--- P ---
{
  "formula": "TbSmHoAg",
  "functional": "GGA-PBE",
  "state": "optimized geometry",
  "lattice_angstrom": [[-2.3741, 4.4475, 1.9650], [-2.8734, -0.2647, 4.5773], [1.8886, 2.3040, 4.5169]],
  "species": ["Ho", "Tb", "Sm", "Ag"],
  "fractional_positions": [[0.7500, 0.7500, 0.7500], [0.0000, 0.0000, 0.0000], [0.5000, 0.5000, 0.5000], [0.2500, 0.2500, 0.2500]],
  "spacegroup": "No. 216",
  "dos_ef_per_ev_cell": 3.96,
  "crystal_system": "cubic"
}

=====

--- Q ---
{
  "formula": "TbSmHoAg",
  "functional": "GGA-PBE",
  "state": "optimized geometry",
  "lattice_angstrom": [[3.6088, 0.0000, 0.0000], [0.0000, 3.6088, 0.0000], [0.0000, 0.0000, 8.7614]],
  "species": ["Sm", "Ho", "Ag", "Tb"],
  "fractional_positions": [[0.0000, 0.0000, 0.0731], [0.5000, 0.5000, 0.3619], [0.0000, 0.0000, 0.5674], [0.5000, 0.5000, 0.7824]],
  "spacegroup": "No. 99",
  "dos_ef_per_ev_cell": 4.91,
  "crystal_system": "tetragonal"
}

=====

Bottom line: Q, by a margin of 18.8 kJ/mol of atoms.

=====

--- P ---
{
  "formula": "SmHoZnAg",
  "functional": "GGA-PBE",
  "state": "optimized geometry",
  "lattice_angstrom": [[-2.1729, -4.5416, 1.0434], [2.3961, -3.3498, 3.0780], [-1.8481, -0.9456, 4.7040]],
  "species": ["Ag", "Sm", "Zn", "Ho"],
  "fractional_positions": [[0.2500, 0.2500, 0.2500], [0.5000, 0.5000, 0.5000], [0.7500, 0.7500, 0.7500], [0.0000, 0.0000, 0.0000]],
  "spacegroup": "No. 216",
  "dos_ef_per_ev_cell": 2.65,
  "crystal_system": "cubic"
}

=====

--- Q ---
{
  "formula": "SmHoZnAg",
  "functional": "GGA-PBE",
  "state": "optimized geometry",
  "lattice_angstrom": [[-1.1644, 3.2785, -1.0262], [-2.2684, 0.0800, 2.8294], [5.1890, 3.1174, 4.0721]],
  "species": ["Ho", "Zn", "Sm", "Ag"],
  "fractional_positions": [[0.0000, 0.0000, 0.3631], [0.5000, 0.5000, 0.5961], [0.0000, 0.0000, 0.8474], [0.5000, 0.5000, 0.1214]],
  "spacegroup": "No. 99",
  "dos_ef_per_ev_cell": 3.78,
  "crystal_system": "tetragonal"
}

=====

Bottom line: Q, by a margin of 1.5 kJ/mol of atoms.

=====

--- P ---
{
  "formula": "SrHo2Ag",
  "functional": "GGA-PBE",
  "state": "optimized geometry",
  "lattice_angstrom": [[-1.1127, 1.3707, -3.2103], [0.2697, -3.3256, -1.5134], [-9.1535, -1.8304, 2.3910]],
  "species": ["Sr", "Ho", "Ho", "Ag"],
  "fractional_positions": [[0.5000, 0.5000, 0.5000], [0.0000, 0.0000, 0.8189], [0.0000, 0.0000, 0.1811], [0.5000, 0.5000, 0.0000]],
  "spacegroup": "No. 123",
  "dos_ef_per_ev_cell": 4.41,
  "crystal_system": "tetragonal"
}

=====

--- Q ---
{
  "formula": "SrHo2Ag",
  "functional": "GGA-PBE",
  "state": "optimized geometry",
  "lattice_angstrom": [[3.6985, 0.0000, 0.0000], [1.8493, 3.2030, 0.0000], [1.8493, 1.0677, 11.3299]],
  "species": ["Ag", "Ho", "Ho", "Sr"],
  "fractional_positions": [[0.5000, 0.5000, 0.5000], [0.8960, 0.8960, 0.3121], [0.1040, 0.1040, 0.6879], [0.0000, 0.0000, 0.0000]],
  "spacegroup": "No. 166",
  "dos_ef_per_ev_cell": 4.47,
  "crystal_system": "trigonal"
}

=====

Bottom line: P, by a margin of 23.6 kJ/mol of atoms.

=====

--- P ---
{
  "formula": "TbHo2Ag",
  "functional": "GGA-PBE",
  "state": "optimized geometry",
  "lattice_angstrom": [[-1.9483, -2.1998, 1.9700], [0.1331, -3.4865, -0.5851], [7.2623, -2.7421, 7.2966]],
  "species": ["Ag", "Ho", "Ho", "Tb"],
  "fractional_positions": [[0.0000, 0.0000, 0.0000], [0.7415, 0.7415, 0.7756], [0.2585, 0.2585, 0.2244], [0.5000, 0.5000, 0.5000]],
  "spacegroup": "No. 166",
  "dos_ef_per_ev_cell": 4.55,
  "crystal_system": "trigonal"
}

=====

--- Q ---
{
  "formula": "TbHo2Ag",
  "functional": "GGA-PBE",
  "state": "optimized geometry",
  "lattice_angstrom": [[3.6907, 0.0000, 0.0000], [0.0000, 5.4274, 0.0000], [0.0000, 0.0000, 5.4274]],
  "species": ["Ho", "Ho", "Tb", "Ag"],
  "fractional_positions": [[0.0000, 0.5000, 0.0000], [0.0000, 0.0000, 0.5000], [0.5000, 0.5000, 0.5000], [0.5000, 0.0000, 0.0000]],
  "spacegroup": "No. 123",
  "dos_ef_per_ev_cell": 4.96,
  "crystal_system": "tetragonal"
}

=====

--- R ---
{
  "formula": "TbHo2Ag",
  "functional": "GGA-PBE",
  "state": "optimized geometry",
  "lattice_angstrom": [[3.5772, 0.0017, 0.0005], [1.7901, 3.0971, 0.0005], [1.7905, 1.0338, 10.3225]],
  "species": ["Tb", "Ho", "Ho", "Ag"],
  "fractional_positions": [[0.4998, 0.4998, 0.5000], [0.0744, 0.0744, 0.7769], [0.2592, 0.2592, 0.2231], [0.6666, 0.6666, 0.0000]],
  "spacegroup": "No. 160",
  "dos_ef_per_ev_cell": 5.30,
  "crystal_system": "trigonal"
}

=====

Bottom line: P, by a margin of 1.0 kJ/mol of atoms.

=====

--- P ---
{
  "formula": "TbHoAg",
  "functional": "GGA-PBE",
  "state": "optimized geometry",
  "lattice_angstrom": [[-4.1930, -2.1093, 0.5621], [1.5709, -2.0705, 3.9486], [-2.4028, 5.8484, 4.0226]],
  "species": ["Tb", "Tb", "Ho", "Ho", "Ag", "Ag"],
  "fractional_positions": [[0.0000, 0.5000, 0.8677], [0.5000, 0.0000, 0.1323], [0.5000, 0.5000, 0.5000], [0.0000, 0.0000, 0.5000], [0.0000, 0.5000, 0.2506], [0.5000, 0.0000, 0.7494]],
  "spacegroup": "No. 129",
  "dos_ef_per_ev_cell": 8.95,
  "crystal_system": "tetragonal"
}

=====

--- Q ---
{
  "formula": "TbHoAg",
  "functional": "GGA-PBE",
  "state": "optimized geometry",
  "lattice_angstrom": [[-1.8425, -1.5970, 4.4002], [-3.1031, -3.9570, 0.1401], [4.7605, -6.8465, 2.3842]],
  "species": ["Ho", "Ho", "Ag", "Ag", "Tb", "Tb"],
  "fractional_positions": [[0.6253, 0.6253, 0.1240], [0.3747, 0.3747, 0.8760], [0.7492, 0.7492, 0.7523], [0.2508, 0.2508, 0.2477], [0.8755, 0.8755, 0.3735], [0.1245, 0.1245, 0.6265]],
  "spacegroup": "No. 166",
  "dos_ef_per_ev_cell": 7.38,
  "crystal_system": "trigonal"
}

=====

Bottom line: P, by a margin of 14.3 kJ/mol of atoms.

=====

--- P ---
{
  "formula": "Tb2HoAg",
  "functional": "GGA-PBE",
  "state": "optimized geometry",
  "lattice_angstrom": [[-0.4271, -1.3221, 3.2652], [-2.2324, -2.7047, 0.5410], [6.9275, -8.1377, -0.4605]],
  "species": ["Tb", "Tb", "Ag", "Ho"],
  "fractional_positions": [[0.7421, 0.7421, 0.7737], [0.2579, 0.2579, 0.2263], [0.0000, 0.0000, 0.0000], [0.5000, 0.5000, 0.5000]],
  "spacegroup": "No. 166",
  "dos_ef_per_ev_cell": 4.07,
  "crystal_system": "trigonal"
}

=====

--- Q ---
{
  "formula": "Tb2HoAg",
  "functional": "GGA-PBE",
  "state": "optimized geometry",
  "lattice_angstrom": [[-1.1352, -3.5063, 3.9190], [1.0770, -5.2277, -0.6727], [3.9845, -2.3055, 2.7839]],
  "species": ["Ho", "Ag", "Tb", "Tb"],
  "fractional_positions": [[0.0000, 0.0000, 0.0000], [0.5000, 0.5000, 0.5000], [0.7500, 0.7500, 0.7500], [0.2500, 0.2500, 0.2500]],
  "spacegroup": "No. 225",
  "dos_ef_per_ev_cell": 3.85,
  "crystal_system": "cubic"
}

=====

Bottom line: P, by a margin of 7.8 kJ/mol of atoms.